No. 1
Mg14ZrCo: relaxed, PBE.

Lattice parameters (Å, degrees): 6.3293 6.3293 9.9296 90.00 90.00 120.00
Space group P-6m2 (No. 187)
Asymmetric unit:
Mg 0.0000 0.0000 0.2384
Mg 0.0149 0.5074 0.2616
Mg 0.3274 0.1637 0.5000
Mg 0.3449 0.1725 0.0000
Zr 0.3333 0.6667 0.0000
Co 0.3333 0.6667 0.5000

Results
- N(E_F) (states/eV per atom) = 0.579
- E_form (eV per atom) = 0.075
- distance to the lowest polymorph of the same formula (eV per atom) = 0.013
- magnetization (μB/atom) = 0.088

No. 2
In2Te3H2: relaxed, PBE.

Lattice parameters (Å, degrees): 5.004 7.140 7.147 63.54 89.23 88.72
Space group P-1 (No. 2)
Asymmetric unit:
In 0.003 0.276 0.224
Te 0.027 0.184 0.684
Te 0.500 0.500 0.000
H 0.308 0.801 0.310

Results
- raw total energy (eV per atom) = -3.0826
- N(E_F) (states/eV per atom) = 0.103
- magnetization (μB/atom) = 0.000

No. 3
Sc4Tl2CdAu: relaxed, PBE.

Lattice parameters (Å, degrees): 5.0013 5.0013 24.4340 90.00 90.00 120.00
Space group R-3m (No. 166, hexagonal axes)
Asymmetric unit:
Sc 0.0000 0.0000 0.1197
Sc 0.0000 0.0000 0.3709
Tl 0.0000 0.0000 0.2456
Cd 0.0000 0.0000 0.5000
Au 0.0000 0.0000 0.0000

Results
- N(E_F) (states/eV per atom) = 0.948
- E_form (eV per atom) = -0.409
- magnetization (μB/atom) = 0.070

No. 4
LaNdTlBi: relaxed, PBE.

Lattice parameters (Å, degrees): 7.961 7.961 7.961 90.00 90.00 90.00
Space group F-43m (No. 216)
Asymmetric unit:
La 0.000 0.000 0.000
Nd 0.000 0.000 0.500
Tl 0.250 0.250 0.250
Bi 0.250 0.250 0.750

Results
- N(E_F) (states/eV per atom) = 1.354
- E_form (eV per atom) = -0.519
- magnetization (μB/atom) = 0.003

No. 5
Li2Ac2TmTl5: relaxed, PBE.

Lattice parameters (Å, degrees): 11.781 11.781 3.955 90.00 90.00 90.00
Space group P4/mbm (No. 127)
Asymmetric unit:
Li 0.123 0.377 0.000
Ac 0.175 0.675 0.000
Tm 0.000 0.000 0.000
Tl 0.000 0.500 0.500
Tl 0.063 0.208 0.500

Results
- N(E_F) (states/eV per atom) = 0.621
- E_form (eV per atom) = -0.298
- magnetization (μB/atom) = 0.000

No. 6
Na2LiTc4: relaxed, PBE.

Lattice parameters (Å, degrees): 4.180 4.180 15.240 90.00 90.00 90.00
Space group I4/mmm (No. 139)
Asymmetric unit:
Na 0.000 0.000 0.166
Li 0.000 0.000 0.500
Tc 0.000 0.000 0.369
Tc 0.000 0.500 0.000

Results
- N(E_F) (states/eV per atom) = 1.301
- E_form (eV per atom) = 1.720
- magnetization (μB/atom) = 0.236

Please write out number 2 again, unchanged.
In2Te3H2: relaxed, PBE.

Lattice parameters (Å, degrees): 5.004 7.140 7.147 63.54 89.23 88.72
Space group P-1 (No. 2)
Asymmetric unit:
In 0.003 0.276 0.224
Te 0.027 0.184 0.684
Te 0.500 0.500 0.000
H 0.308 0.801 0.310

Results
- raw total energy (eV per atom) = -3.0826
- N(E_F) (states/eV per atom) = 0.103
- magnetization (μB/atom) = 0.000

- Number 2 is which compound?
  In2Te3H2

- Among the records above, which one has the highest N(E_F)?
  LaNdTlBi

- Among the records above, which one has the highest N(E_F)?
  LaNdTlBi